Below is a relaxed LiAcCu2 crystal, with properties calculated at the PBE-GGA level.

abc: 7.2907 4.1660 11.4628
angles: 90.00 90.00 90.00
Fractional coordinates of all 16 atoms:
Li (0.0987, 0.2500, 0.0510)
Li (0.4013, 0.7500, 0.5510)
Li (0.5987, 0.2500, 0.4490)
Li (0.9013, 0.7500, 0.9490)
Ac (0.1203, 0.2500, 0.3548)
Ac (0.3797, 0.7500, 0.8548)
Ac (0.6203, 0.2500, 0.1452)
Ac (0.8797, 0.7500, 0.6452)
Cu (0.0511, 0.2500, 0.8246)
Cu (0.2210, 0.2500, 0.6387)
Cu (0.2790, 0.7500, 0.1387)
Cu (0.4489, 0.7500, 0.3246)
Cu (0.5511, 0.2500, 0.6754)
Cu (0.7210, 0.2500, 0.8613)
Cu (0.7790, 0.7500, 0.3613)
Cu (0.9489, 0.7500, 0.1754)

Properties
- Relative energy among the computed polymorphs: 0.025 eV per atom
- E: -58.22 eV per cell
- Formation energy from the elements: -0.085 eV/atom
- Volume: 348 Å³/cell
- SG: No. 62